# 1
Density functional theory data (PBE) for LiTbSnPt after structural relaxation.

Cell and atoms, written as POSCAR:
```
LiTbSnPt
1.0
-1.6011 4.3173 1.2400
-3.1995 2.2343 -2.7407
-4.4874 0.5319 1.5235
Tb Sn Pt Li
1 1 1 1
direct
0.0000 0.0000 0.0000 Tb
0.5000 0.5000 0.5000 Sn
0.7500 0.7500 0.7500 Pt
0.2500 0.2500 0.2500 Li
```

Results
Symmetry: F-43m

***

# 2
Density functional theory data (PBE) for LiThSnPt after structural relaxation.

Cell and atoms, written as POSCAR:
```
LiThSnPt
1.0
4.9262 0.0000 0.0000
2.4631 4.2662 0.0000
2.4631 1.4221 4.0222
Li Pt Th Sn
1 1 1 1
direct
0.2500 0.2500 0.2500 Li
0.7500 0.7500 0.7500 Pt
0.0000 0.0000 0.0000 Th
0.5000 0.5000 0.5000 Sn
```

Results
Symmetry: F-43m

***

# 3
Density functional theory data (PBE) for LiTmSn2Pt4 after structural relaxation.

Cell and atoms, written as POSCAR:
```
LiTmSn2Pt4
1.0
-4.0777 -1.9448 -0.5447
-0.6041 -4.3698 1.1168
-3.5979 0.0805 7.6395
Li Tm Sn Pt
1 1 2 4
direct
0.5000 0.5000 0.5000 Li
0.0000 0.0000 0.0000 Tm
0.7557 0.7557 0.7329 Sn
0.2443 0.2443 0.2671 Sn
0.3939 0.3939 0.8182 Pt
0.8711 0.8711 0.3868 Pt
0.1289 0.1289 0.6132 Pt
0.6061 0.6061 0.1818 Pt
```

Results
Symmetry: R-3m

***

# 4
Density functional theory data (PBE) for LiUSnPt after structural relaxation.

Cell and atoms, written as POSCAR:
```
LiUSnPt
1.0
-1.4707 4.2363 1.7551
-2.6225 0.1545 4.0359
1.9298 1.7246 4.0609
U Sn Pt Li
1 1 1 1
direct
0.0000 0.0000 0.0000 U
0.5000 0.5000 0.5000 Sn
0.7500 0.7500 0.7500 Pt
0.2500 0.2500 0.2500 Li
```

Results
Symmetry: F-43m

***

# 5
Density functional theory data (PBE) for LiSnPtW2 after structural relaxation.

Cell and atoms, written as POSCAR:
```
LiSnPtW2
1.0
4.9214 0.0000 0.0000
0.0000 5.0891 0.0000
0.0000 0.0000 4.9214
Li W Pt Sn
1 2 1 1
direct
0.5000 0.5000 0.5000 Li
0.0000 0.0000 0.5000 W
0.5000 0.0000 0.0000 W
0.0000 0.0000 0.0000 Pt
0.0000 0.5000 0.0000 Sn
```

Results
Symmetry: P4/mmm

***

# 6
Density functional theory data (PBE) for Sr4Li2Pt after structural relaxation.

Cell and atoms, written as POSCAR:
```
Sr4Li2Pt
1.0
-4.5886 3.5987 -0.6152
-0.9632 -2.1464 -5.3712
-8.0359 -5.4009 0.3986
Sr Pt Li
4 1 2
direct
0.8264 0.8264 0.3473 Sr
0.1736 0.1736 0.6527 Sr
0.0000 0.5000 0.0000 Sr
0.5000 0.0000 0.0000 Sr
0.0000 0.0000 0.0000 Pt
0.6225 0.6225 0.7549 Li
0.3775 0.3775 0.2451 Li
```

Results
Symmetry: I4/mmm

***

# 7
Density functional theory data (PBE) for Sr2Li2Pt after structural relaxation.

Cell and atoms, written as POSCAR:
```
Sr2Li2Pt
1.0
7.2747 0.0000 0.0000
0.0000 7.2747 0.0000
0.0000 0.0000 4.9346
Sr Pt Li
4 2 4
direct
0.1944 0.6944 0.5000 Sr
0.6944 0.8056 0.5000 Sr
0.8056 0.3056 0.5000 Sr
0.3056 0.1944 0.5000 Sr
0.0000 0.0000 0.0000 Pt
0.5000 0.5000 0.0000 Pt
0.3631 0.8631 0.0000 Li
0.8631 0.6369 0.0000 Li
0.6369 0.1369 0.0000 Li
0.1369 0.3631 0.0000 Li
```

Results
Symmetry: P4/mbm

***

# 8
Density functional theory data (PBE) for SrLi8Pt4 after structural relaxation.

Cell and atoms, written as POSCAR:
```
SrLi8Pt4
1.0
-4.0066 -2.5696 -2.8022
1.6169 -6.3459 -1.9362
-4.3220 -3.5096 3.9543
Sr Li Pt
1 8 4
direct
0.0000 0.0000 0.0000 Sr
0.0000 0.3406 0.6594 Li
0.0000 0.6594 0.3406 Li
0.3406 0.6594 0.6594 Li
0.6594 0.3406 0.3406 Li
0.5000 0.7673 0.2327 Li
0.5000 0.2327 0.7673 Li
0.2673 0.2327 0.2327 Li
0.7327 0.7673 0.7673 Li
0.0000 0.0000 0.5000 Pt
0.5000 0.0000 0.5000 Pt
0.0000 0.5000 0.0000 Pt
0.5000 0.5000 0.0000 Pt
```

Results
Symmetry: I4/mmm

***

# 9
Density functional theory data (PBE) for Sr8Li2Pt after structural relaxation.

Cell and atoms, written as POSCAR:
```
Sr8Li2Pt
1.0
-1.8203 -3.7856 -1.7732
7.2670 -1.4725 -4.3163
5.4886 -4.9063 10.7016
Sr Li Pt
8 2 1
direct
0.6066 0.4860 0.2132 Sr
0.3836 0.9973 0.7673 Sr
0.2299 0.2742 0.4597 Sr
0.0042 0.7687 0.0084 Sr
0.7701 0.7258 0.5403 Sr
0.6164 0.0027 0.2327 Sr
0.3934 0.5140 0.7868 Sr
0.9958 0.2313 0.9916 Sr
0.1671 0.7269 0.3342 Li
0.8329 0.2731 0.6658 Li
0.5000 0.0000 0.0000 Pt
```

Results
Symmetry: C2/m

***

# 10
Density functional theory data (PBE) for SrLiPt2 after structural relaxation.

Cell and atoms, written as POSCAR:
```
SrLiPt2
1.0
-2.5869 1.3180 0.4715
-1.9250 -3.8239 0.1277
0.9645 -0.2825 6.0811
Li Pt Sr
1 2 1
direct
0.5000 0.5000 0.8287 Li
0.0000 0.0000 0.9708 Pt
0.5000 0.5000 0.2234 Pt
0.0000 0.0000 0.4771 Sr
```

Results
Symmetry: Pmm2

***

# 11
Density functional theory data (PBE) for SrLi2Pt after structural relaxation.

Cell and atoms, written as POSCAR:
```
SrLi2Pt
1.0
-2.7720 1.8506 -2.3785
-2.9448 -1.7179 2.0952
-1.4206 4.0103 4.7759
Sr Pt Li
1 1 2
direct
0.5000 0.7463 0.6584 Sr
0.0000 0.3395 0.4541 Pt
0.0000 0.9688 0.1726 Li
0.5000 0.4455 0.2149 Li
```

Results
Symmetry: Pm

***

# 12
Density functional theory data (PBE) for SrLi12Pt4 after structural relaxation.

Cell and atoms, written as POSCAR:
```
SrLi12Pt4
1.0
-5.9105 3.6546 3.2615
1.1821 -6.6760 3.6002
6.3050 4.3463 0.5332
Sr Li Pt
1 12 4
direct
0.0000 0.0000 0.0000 Sr
0.8187 0.3451 0.1638 Li
0.3451 0.5264 0.1813 Li
0.8362 0.1813 0.6549 Li
0.3451 0.1638 0.8187 Li
0.1638 0.8187 0.3451 Li
0.6549 0.4736 0.8187 Li
0.5264 0.1813 0.3451 Li
0.4736 0.8187 0.6549 Li
0.6549 0.8362 0.1813 Li
0.8187 0.6549 0.4736 Li
0.1813 0.3451 0.5264 Li
0.1813 0.6549 0.8362 Li
0.0000 0.5000 0.0000 Pt
0.5000 0.0000 0.0000 Pt
0.5000 0.5000 0.5000 Pt
0.0000 0.0000 0.5000 Pt
```

Results
Symmetry: Im-3

***

Calculated values (eV/cell) of total energy for the records, taken in order: -20.273, -22.154, -44.630, -24.839, -29.687, -18.018, -28.147, -48.073, -25.040, -17.013, -13.154, -51.706.